Here is a geometry-optimized Ba2LaFe3O9 structure from Alexandria via LeMat-Bulk. Energies are from PBE+U.

Structure (CIF):
```
data_Ba2LaFe3O9
_cell_length_a 5.6542
_cell_length_b 5.6542
_cell_length_c 6.8794
_cell_angle_alpha 90.00
_cell_angle_beta 90.00
_cell_angle_gamma 120.00
_space_group_name_H-M_alt 'P -3 m 1'
_space_group_IT_number 164
_space_group_name_Hall '-P 3 2"'
loop_
_atom_site_label
_atom_site_type_symbol
_atom_site_fract_x
_atom_site_fract_y
_atom_site_fract_z
Ba1 Ba 0.3333 0.6667 0.1642
La1 La 0.0000 0.0000 0.5000
Fe1 Fe 0.0000 0.0000 0.0000
Fe2 Fe 0.3333 0.6667 0.6658
O1 O 0.0000 0.5000 0.5000
O2 O 0.1613 0.3226 0.8199
```

N(E_F)   0.1726 states/eV per atom
Mass density   6.3 g/cm3
Energy   -6.758 eV/atom